Material: RbVZn
Method: DFT, GGA-PBE
State: relaxed

Properties
**Symmetry**: No. 1
**Density of states at the Fermi level**: 4.18 states/eV per cell
**Polymorph energy (0 for the lowest one)**: 9.2 kJ/mol of atoms
**E_form**: 0.4798 eV/atom

Cell lengths 4.8271, 5.0900, 10.6883 Å; angles 88.29, 88.82, 61.70 degrees
Sites, in units of the cell vectors:
Rb1 0.0000 0.0000 0.0000
Rb2 0.2115 0.4281 0.5904
V1 0.1406 0.4538 0.2634
V2 0.5258 0.4564 0.2681
Zn1 0.0682 0.9764 0.3388
Zn2 0.5945 0.9253 0.3320